A) A relaxed PmHo6Tm12 crystal, computed with PBE.

Summary:
SG   R-3, No. 148
Density of states at the Fermi level   1.5756 states/eV/atom

Cell: 8.430 8.430 8.430 Å, 88.25 88.25 88.25°
Sites, in units of the cell vectors:
1 Pm 0.000 0.000 0.000
2 Ho 0.745 0.911 0.317
3 Ho 0.683 0.255 0.089
4 Ho 0.089 0.683 0.255
5 Ho 0.255 0.089 0.683
6 Ho 0.317 0.745 0.911
7 Ho 0.911 0.317 0.745
8 Tm 0.771 0.546 0.437
9 Tm 0.437 0.771 0.546
10 Tm 0.546 0.437 0.771
11 Tm 0.229 0.454 0.563
12 Tm 0.563 0.229 0.454
13 Tm 0.454 0.563 0.229
14 Tm 0.007 0.217 0.353
15 Tm 0.783 0.647 0.993
16 Tm 0.647 0.993 0.783
17 Tm 0.993 0.783 0.647
18 Tm 0.217 0.353 0.007
19 Tm 0.353 0.007 0.217

B) A relaxed PmHo6Tm12 crystal, computed with PBE.

Summary:
SG   R-3m, No. 166
Density of states at the Fermi level   1.5867 states/eV/atom

Cell: 9.160 9.160 9.160 Å, 107.00 107.00 107.00°
Sites, in units of the cell vectors:
1 Pm 0.000 0.000 0.000
2 Ho 0.688 0.284 0.688
3 Ho 0.688 0.688 0.284
4 Ho 0.284 0.688 0.688
5 Ho 0.312 0.312 0.716
6 Ho 0.312 0.716 0.312
7 Ho 0.716 0.312 0.312
8 Tm 0.888 0.112 0.500
9 Tm 0.346 0.115 0.346
10 Tm 0.346 0.346 0.115
11 Tm 0.885 0.654 0.654
12 Tm 0.654 0.654 0.885
13 Tm 0.654 0.885 0.654
14 Tm 0.500 0.888 0.112
15 Tm 0.112 0.500 0.888
16 Tm 0.112 0.888 0.500
17 Tm 0.500 0.112 0.888
18 Tm 0.888 0.500 0.112
19 Tm 0.115 0.346 0.346

Most stable structure - A); separation to the second - 0.283 eV/atom.